VASP calculation (PBE-GGA) on a relaxed CdRe2Br crystal.

Results
DOS at the Fermi energy in states/eV per cell: 5.474
Volume in A^3/atom: 16.79
SG: P4/mmm, No. 123
ΔE_f (raw) in meV/atom: 1461

a b c (Å): 3.113 3.113 6.933
angles (deg): 90.00 90.00 90.00
Element x y z (fractional)
Cd (0.000, 0.000, 0.000)
Re (0.500, 0.500, 0.280)
Re (0.500, 0.500, 0.720)
Br (0.000, 0.000, 0.500)

VASP calculation (PBE-GGA) on a relaxed Cd2ReBr crystal.

Results
DOS at the Fermi energy in states/eV per cell: 8.194
Volume in A^3/atom: 26.93
SG: I-42d, No. 122
ΔE_f (raw) in meV/atom: 909

a b c (Å): 7.151 7.151 7.151
angles (deg): 96.28 96.28 141.37
Element x y z (fractional)
Cd (0.015, 0.625, 0.890)
Cd (0.375, 0.265, 0.390)
Cd (0.735, 0.125, 0.110)
Cd (0.875, 0.985, 0.610)
Re (0.000, 0.000, 0.000)
Re (0.750, 0.250, 0.500)
Br (0.250, 0.750, 0.500)
Br (0.500, 0.500, 0.000)

VASP calculation (PBE-GGA) on a relaxed Cd2ReBr crystal.

Results
DOS at the Fermi energy in states/eV per cell: 3.589
Volume in A^3/atom: 22.49
SG: Fm-3m, No. 225
ΔE_f (raw) in meV/atom: 1169

a b c (Å): 5.030 5.030 5.030
angles (deg): 60.00 60.00 60.00
Element x y z (fractional)
Cd (0.250, 0.250, 0.250)
Cd (0.750, 0.750, 0.750)
Re (0.000, 0.000, 0.000)
Br (0.500, 0.500, 0.500)

VASP calculation (PBE-GGA) on a relaxed CdRe2Br crystal.

Results
DOS at the Fermi energy in states/eV per cell: 4.933
Volume in A^3/atom: 18.07
SG: Cmmm, No. 65
ΔE_f (raw) in meV/atom: 1498

a b c (Å): 5.427 5.427 2.839
angles (deg): 90.00 90.00 120.19
Element x y z (fractional)
Cd (0.000, 0.000, 0.000)
Re (0.000, 0.500, 0.500)
Re (0.500, 0.000, 0.500)
Br (0.500, 0.500, 0.000)

VASP calculation (PBE-GGA) on a relaxed CdRe2Br crystal.

Results
DOS at the Fermi energy in states/eV per cell: 5.064
Volume in A^3/atom: 16.85
SG: Fm-3m, No. 225
ΔE_f (raw) in meV/atom: 1606

a b c (Å): 4.568 4.568 4.568
angles (deg): 60.00 60.00 60.00
Element x y z (fractional)
Cd (0.000, 0.000, 0.000)
Re (0.250, 0.250, 0.250)
Re (0.750, 0.750, 0.750)
Br (0.500, 0.500, 0.500)

VASP calculation (PBE-GGA) on a relaxed Cd2ReBr crystal.

Results
DOS at the Fermi energy in states/eV per cell: 2.013
Volume in A^3/atom: 24.11
SG: Imm2, No. 44
ΔE_f (raw) in meV/atom: 471

a b c (Å): 7.256 7.256 7.256
angles (deg): 156.35 140.88 46.23
Element x y z (fractional)
Cd (0.000, 0.000, 0.000)
Cd (0.652, 0.152, 0.500)
Re (0.472, 0.472, 0.000)
Br (0.318, 0.818, 0.500)

Among the records above, which one has the highest ΔE_f (raw)? number 5

What is the volume in the third record? 22.49 A^3/atom

ΔE_f (raw) of number 2 (Cd2ReBr)? 909 meV/atom

What is the volume in the first record? 16.79 A^3/atom